# NaNdCd6 (PBE-GGA, relaxed)
# Density ... 7054 kg/m3
# N(E_F) ... 0.488 states/eV/atom
# Total magnetic moment ... 0.00 μB/atom
# DFT formation energy ... -0.182 eV/atom
data_NaNdCd6
_symmetry_space_group_name_H-M 'A m m 2'
_symmetry_Int_Tables_number 38
_cell_length_a 5.029
_cell_length_b 6.925
_cell_length_c 11.379
_cell_angle_alpha 90.00
_cell_angle_beta 90.00
_cell_angle_gamma 90.00
loop_
_symmetry_equiv_pos_as_xyz
'x,y,z'
'-x,-y,z'
'-x,y,z'
'x,-y,z'
'x,y+1/2,z+1/2'
'-x,-y+1/2,z+1/2'
'-x,y+1/2,z+1/2'
'x,-y+1/2,z+1/2'
loop_
_atom_site_label
_atom_site_fract_x
_atom_site_fract_y
_atom_site_fract_z
Na1 0.000 0.000 0.000
Nd1 0.500 0.000 0.304
Cd1 0.000 0.000 0.484
Cd2 0.000 0.226 0.736
Cd3 0.500 0.000 0.820
Cd4 0.500 0.227 0.565



# NaNd5Cd6 (PBE-GGA, relaxed)
# Density ... 6952 kg/m3
# N(E_F) ... 0.978 states/eV/atom
# Total magnetic moment ... 0.09 μB/atom
# DFT formation energy ... -0.274 eV/atom
data_NaNd5Cd6
_symmetry_space_group_name_H-M 'C m m m'
_symmetry_Int_Tables_number 65
_symmetry_space_group_name_Hall '-C 2 2'
_cell_length_a 5.429
_cell_length_b 16.212
_cell_length_c 7.699
_cell_angle_alpha 90.00
_cell_angle_beta 90.00
_cell_angle_gamma 90.00
loop_
_atom_site_label
_atom_site_fract_x
_atom_site_fract_y
_atom_site_fract_z
Na1 0.000 0.000 0.000
Nd1 0.000 0.000 0.500
Nd2 0.000 0.331 0.500
Nd3 0.000 0.336 0.000
Cd1 0.000 0.164 0.243
Cd2 0.000 0.500 0.253



# NaNdCd2 (PBE-GGA, relaxed)
# Energy above the lowest structure with this stoichiometry ... 13 meV/atom
# Density ... 5862 kg/m3
# N(E_F) ... 0.859 states/eV/atom
# Total magnetic moment ... 0.00 μB/atom
# DFT formation energy ... -0.178 eV/atom
data_NaNdCd2
_symmetry_space_group_name_H-M 'P 4/m m m'
_symmetry_Int_Tables_number 123
_symmetry_space_group_name_Hall '-P 4 2'
_cell_length_a 5.531
_cell_length_b 5.531
_cell_length_c 3.631
_cell_angle_alpha 90.00
_cell_angle_beta 90.00
_cell_angle_gamma 90.00
loop_
_atom_site_label
_atom_site_fract_x
_atom_site_fract_y
_atom_site_fract_z
Na1 0.000 0.000 0.000
Nd1 0.500 0.500 0.000
Cd1 0.000 0.500 0.500



# Na2NdCd9 (PBE-GGA, relaxed)
# Density ... 6754 kg/m3
# N(E_F) ... 0.606 states/eV/atom
# Total magnetic moment ... 0.00 μB/atom
# DFT formation energy ... -0.128 eV/atom
data_Na2NdCd9
_symmetry_space_group_name_H-M 'R -3 m'
_symmetry_Int_Tables_number 166
_symmetry_space_group_name_Hall '-R 3 2"'
_cell_length_a 5.9465
_cell_length_b 5.9465
_cell_length_c 28.9510
_cell_angle_alpha 90.00
_cell_angle_beta 90.00
_cell_angle_gamma 120.00
loop_
_atom_site_label
_atom_site_fract_x
_atom_site_fract_y
_atom_site_fract_z
Na1 0.0000 0.0000 0.1428
Nd1 0.0000 0.0000 0.0000
Cd1 0.0000 0.0000 0.3347
Cd2 0.0000 0.0000 0.5000
Cd3 0.0060 0.5030 0.9152



- Which value of density does entry 3 give?
  5862 kg/m3



- The highest total magnetic moment belongs to which entry?
  NaNd5Cd6



What did the fourth record say?
# Na2NdCd9 (PBE-GGA, relaxed)
# Density ... 6754 kg/m3
# N(E_F) ... 0.606 states/eV/atom
# Total magnetic moment ... 0.00 μB/atom
# DFT formation energy ... -0.128 eV/atom
data_Na2NdCd9
_symmetry_space_group_name_H-M 'R -3 m'
_symmetry_Int_Tables_number 166
_symmetry_space_group_name_Hall '-R 3 2"'
_cell_length_a 5.9465
_cell_length_b 5.9465
_cell_length_c 28.9510
_cell_angle_alpha 90.00
_cell_angle_beta 90.00
_cell_angle_gamma 120.00
loop_
_atom_site_label
_atom_site_fract_x
_atom_site_fract_y
_atom_site_fract_z
Na1 0.0000 0.0000 0.1428
Nd1 0.0000 0.0000 0.0000
Cd1 0.0000 0.0000 0.3347
Cd2 0.0000 0.0000 0.5000
Cd3 0.0060 0.5030 0.9152



What did the second record say?
# NaNd5Cd6 (PBE-GGA, relaxed)
# Density ... 6952 kg/m3
# N(E_F) ... 0.978 states/eV/atom
# Total magnetic moment ... 0.09 μB/atom
# DFT formation energy ... -0.274 eV/atom
data_NaNd5Cd6
_symmetry_space_group_name_H-M 'C m m m'
_symmetry_Int_Tables_number 65
_symmetry_space_group_name_Hall '-C 2 2'
_cell_length_a 5.429
_cell_length_b 16.212
_cell_length_c 7.699
_cell_angle_alpha 90.00
_cell_angle_beta 90.00
_cell_angle_gamma 90.00
loop_
_atom_site_label
_atom_site_fract_x
_atom_site_fract_y
_atom_site_fract_z
Na1 0.000 0.000 0.000
Nd1 0.000 0.000 0.500
Nd2 0.000 0.331 0.500
Nd3 0.000 0.336 0.000
Cd1 0.000 0.164 0.243
Cd2 0.000 0.500 0.253